Material: Pm15Mg2Tl2
Method: DFT, PBE
State: relaxed

Results
Energy relative to the elements   0.237 eV/atom

abc: 11.0845 11.0845 17.8585
angles: 90.00 90.00 120.00
With the nearest neighbours (Å) after each atom.
Space group R-3m (No. 166, hexagonal axes)
One atom of each set of equivalent atoms:
1 Pm 0.0000 0.2973 0.0000 (multiplicity 18)  6 Pm 3.30-3.42, 2 Tl 3.69
2 Pm 0.0000 0.5000 0.5000 (multiplicity 9)  8 Pm 3.31-3.42, 2 Tl 3.46
3 Pm 0.0151 0.5075 0.1390 (multiplicity 18)  6 Pm 3.21-3.35
4 Mg 0.0000 0.0000 0.3356 (multiplicity 6)  12 Pm 3.91-4.19, 1 Tl 4.34
5 Tl 0.0000 0.0000 0.0925 (multiplicity 6)  1 Tl 3.30, 9 Pm 3.46-3.69

Material: Pm4Mg3Tl2
Method: DFT, PBE
State: relaxed

Results
Energy relative to the elements   -0.200 eV/atom

abc: 5.3880 5.3880 10.3051
angles: 90.00 90.00 120.00
With the nearest neighbours (Å) after each atom.
Space group P-3m1 (No. 164)
One atom of each set of equivalent atoms:
1 Pm 0.0000 0.0000 0.1712 (multiplicity 2)  3 Tl 3.38, 7 Mg 3.39-3.61, 4 Pm 3.53-3.77
2 Pm 0.3333 0.6667 0.6215 (multiplicity 2)  4 Tl 3.22-3.33, 3 Mg 3.35
3 Mg 0.0000 0.0000 0.5000 (multiplicity 1)  8 Pm 3.35-3.39, 6 Tl 3.74
4 Mg 0.3333 0.6667 0.9942 (multiplicity 2)  3 Mg 3.11, 1 Tl 3.14
5 Tl 0.3333 0.6667 0.2986 (multiplicity 2)  1 Mg 3.14, 7 Pm 3.22-3.38

Material: Pm7MgTl5
Method: DFT, PBE
State: relaxed

Results
Energy relative to the elements   -0.167 eV/atom

abc: 6.7944 10.7694 11.0369
angles: 90.00 90.00 90.00
With the nearest neighbours (Å) after each atom.
Space group Imm2 (No. 44)
One atom of each set of equivalent atoms:
1 Pm 0.0000 0.0000 0.0000 (multiplicity 2)  4 Tl 3.49, 4 Pm 3.62-3.90, 1 Mg 3.63
2 Pm 0.0000 0.0000 0.3543 (multiplicity 2)  6 Tl 3.36-3.40, 1 Mg 3.50
3 Pm 0.0000 0.3202 0.5969 (multiplicity 4)  5 Tl 3.28-3.39, 1 Mg 3.54, 1 Pm 3.55
4 Pm 0.0000 0.3255 0.0806 (multiplicity 4)  5 Tl 3.25-3.44, 2 Pm 3.30-3.62
5 Pm 0.0000 0.5000 0.3268 (multiplicity 2)  4 Tl 3.10, 2 Pm 3.30
6 Mg 0.0000 0.0000 0.6710 (multiplicity 2)  6 Pm 3.50-3.81, 4 Tl 3.55
7 Tl 0.0000 0.5000 0.8369 (multiplicity 2)  6 Pm 3.28-3.40, 4 Tl 3.28
8 Tl 0.2394 0.2354 0.8409 (multiplicity 8)  6 Pm 3.10-3.44, 2 Tl 3.25-3.28

For the records above, the corresponding electronic total energy values read -3.931; -3.368; -3.758 eV per atom.